# 1
# Sr2Mg2Bi

Crystalline Sr2Mg2Bi at its relaxed geometry (PBE-GGA, Alexandria).

a b c (Å): 8.158 8.158 5.236
angles (deg): 90.00 90.00 90.00
Fractional positions:
Sr 0.176 0.676 0.500
Sr 0.676 0.824 0.500
Sr 0.824 0.324 0.500
Sr 0.324 0.176 0.500
Mg 0.373 0.873 0.000
Mg 0.873 0.627 0.000
Mg 0.627 0.127 0.000
Mg 0.127 0.373 0.000
Bi 0.000 0.000 0.000
Bi 0.500 0.500 0.000

Properties
For the energy of formation from the pure elements, the calculation gives -0.258 eV per atom. The crystal system is tetragonal.

# 2
# La3Pm2UN6

Crystalline La3Pm2UN6 at its relaxed geometry (PBE-GGA, Alexandria).

a b c (Å): 6.254 6.254 6.334
angles (deg): 99.47 99.47 119.90
Fractional positions:
La 0.167 0.833 0.500
La 0.833 0.167 0.500
La 0.500 0.500 0.500
Pm 0.334 0.666 0.000
Pm 0.666 0.334 0.000
U 0.000 0.000 0.000
N 0.927 0.629 0.781
N 0.774 0.774 0.225
N 0.073 0.371 0.219
N 0.629 0.927 0.781
N 0.226 0.226 0.775
N 0.371 0.073 0.219

Properties
The formation energy (no corrections) is -1443 meV/atom. The crystal system is monoclinic.